Record 1
{
  "formula": "Zn2InW",
  "functional": "GGA-PBE",
  "state": "relaxed",
  "lattice": [[-1.954, 1.954, 4.419], [1.954, -1.954, 4.419], [1.954, 1.954, -4.419]],
  "species": ["Zn", "Zn", "In", "W"],
  "frac_coords": [[0.250, 0.750, 0.500], [0.750, 0.250, 0.500], [0.000, 0.000, 0.000], [0.500, 0.500, 0.000]],
  "ef_kj_per_mol_atoms": 45.7,
  "vol_a3_per_cell": 67.47,
  "energy_ev_per_atom": -4.09
}


Record 2
{
  "formula": "Zn2InW",
  "functional": "GGA-PBE",
  "state": "relaxed",
  "lattice": [[5.297, -1.440, 0.000], [5.297, 1.440, 0.000], [-2.332, 0.000, 4.425]],
  "species": ["Zn", "Zn", "In", "W"],
  "frac_coords": [[0.000, 0.000, 0.000], [0.248, 0.248, 0.583], [0.761, 0.761, 0.102], [0.511, 0.511, 0.531]],
  "ef_kj_per_mol_atoms": 30.8,
  "vol_a3_per_cell": 67.49,
  "energy_ev_per_atom": -4.24
}


Record 3
{
  "formula": "Zn2InW",
  "functional": "GGA-PBE",
  "state": "relaxed",
  "lattice": [[1.483, 0.856, 9.168], [-1.483, 0.856, 9.168], [0.000, -1.713, 9.168]],
  "species": ["Zn", "Zn", "In", "W"],
  "frac_coords": [[0.245, 0.245, 0.245], [0.755, 0.755, 0.755], [0.000, 0.000, 0.000], [0.500, 0.500, 0.500]],
  "ef_kj_per_mol_atoms": 32.2,
  "vol_a3_per_cell": 69.88,
  "energy_ev_per_atom": -4.23
}


Record 4
{
  "formula": "ZrInW",
  "functional": "GGA-PBE",
  "state": "relaxed",
  "lattice": [[0.000, 3.295, 3.295], [3.295, 0.000, 3.295], [3.295, 3.295, 0.000]],
  "species": ["Zr", "In", "W"],
  "frac_coords": [[0.000, 0.000, 0.000], [0.500, 0.500, 0.500], [0.250, 0.250, 0.250]],
  "ef_kj_per_mol_atoms": 84.3,
  "vol_a3_per_cell": 71.52,
  "e_above_lowest_polymorph_mev_per_atom": 689,
  "energy_ev_per_atom": -7.21
}